VASP calculation (PBE) on a geometry-optimized NaMnTe2I structure.

a = 5.516 Å, b = 5.516 Å, c = 5.815 Å
α = 90.00°, β = 90.00°, γ = 90.00°
Atoms (fractional coordinates):
1 Na 0.000 0.000 0.000
2 Mn 0.500 0.500 0.500
3 Te 0.000 0.500 0.000
4 Te 0.500 0.000 0.000
5 I 0.000 0.000 0.500

Values from the calculation:
Total magnetic moment, μB/cell: 4.88
Mass density, g/cm³: 4.3
Symmetry: P4/mmm (123)
Energy above the most stable polymorph in this dataset, eV per formula unit: 3.18